No. 1
{"formula": "TiFe2C", "functional": "PBE-GGA", "state": "optimized geometry", "lattice_angstrom": [[-3.175, 3.175, 2.209], [3.175, -3.175, 2.209], [3.175, 3.175, -2.209]], "species": ["Ti", "Ti", "Fe", "Fe", "Fe", "Fe", "C", "C"], "fractional_positions": [[0.000, 0.000, 0.000], [0.750, 0.250, 0.500], [0.244, 0.625, 0.119], [0.375, 0.494, 0.619], [0.506, 0.125, 0.881], [0.875, 0.756, 0.381], [0.250, 0.750, 0.500], [0.500, 0.500, 0.000]], "formation_energy_ev_per_fu": -0.1, "total_energy_ev_per_cell": -68.4, "space_group": "I-42d, No. 122"}

No. 2
{"formula": "Ca5Zn4Au", "functional": "PBE-GGA", "state": "optimized geometry", "lattice_angstrom": [[3.631, 0.000, 0.000], [0.000, 3.631, 0.000], [0.000, 0.000, 18.716]], "species": ["Ca", "Ca", "Ca", "Ca", "Ca", "Zn", "Zn", "Zn", "Zn", "Au"], "fractional_positions": [[0.000, 0.000, 0.000], [0.000, 0.000, 0.201], [0.000, 0.000, 0.403], [0.000, 0.000, 0.597], [0.000, 0.000, 0.799], [0.500, 0.500, 0.101], [0.500, 0.500, 0.301], [0.500, 0.500, 0.699], [0.500, 0.500, 0.899], [0.500, 0.500, 0.500]], "formation_energy_ev_per_fu": -3.5, "total_energy_ev_per_cell": -21.9, "space_group": "P4/mmm, No. 123"}